Record 1
Compound: Tb2NiB2Rh5
Source: Alexandria via LeMat-Bulk
Functional: PBE-GGA
Structure: relaxed

Crystal system   tetragonal
Symmetry   P4/mbm
Energy of formation   -610 meV per atom
DOS(E_F)   7.80 states/eV/f.u.
Total magnetization   1.808 μB per cell

Lattice parameters (Å, degrees): 3.2141 9.4396 9.4396 90.00 90.00 90.00
Last column: magnetic moment on the atom in μB.
Fractional coordinates of all 20 atoms:
Rh  0.5000  0.2809  0.5697  0.08
Rh  0.5000  0.7191  0.4303  0.08
Rh  0.5000  0.0000  0.5000  0.04
Rh  0.5000  0.9303  0.2191  0.08
B  0.0000  0.6243  0.8757  0.00
Rh  0.5000  0.0697  0.7809  0.08
B  0.0000  0.1243  0.6243  0.00
Ni  0.0000  0.5000  0.5000  0.61
B  0.0000  0.3757  0.1243  0.00
Tb  0.0000  0.3236  0.8236  -0.02
Tb  0.0000  0.8236  0.6764  -0.02
Rh  0.5000  0.7809  0.9303  0.08
Rh  0.5000  0.5697  0.7191  0.08
Rh  0.5000  0.2191  0.0697  0.08
Tb  0.0000  0.1764  0.3236  -0.02
Tb  0.0000  0.6764  0.1764  -0.02
Rh  0.5000  0.5000  0.0000  0.04
B  0.0000  0.8757  0.3757  0.00
Rh  0.5000  0.4303  0.2809  0.08
Ni  0.0000  0.0000  0.0000  0.61

---

Record 2
Compound: Dy2MnC4
Source: Alexandria via LeMat-Bulk
Functional: PBE-GGA
Structure: relaxed

Crystal system   orthorhombic
Symmetry   Ibam
Energy of formation   -263 meV per atom
DOS(E_F)   2.65 states/eV/f.u.
Total magnetization   1.792 μB per cell

Lattice parameters (Å, degrees): 5.0462 6.6100 6.6100 69.81 67.56 67.56
Last column: magnetic moment on the atom in μB.
Fractional coordinates of all 14 atoms:
Dy  0.1448  0.5114  0.1990  -0.03
Mn  0.2500  0.0000  0.0000  0.96
Dy  0.6448  0.1990  0.5114  -0.03
C  0.1283  0.2129  0.5304  0.03
C  0.6283  0.5304  0.2129  0.03
Dy  0.3552  0.8010  0.4886  -0.03
C  0.3717  0.4696  0.7871  0.03
Mn  0.7500  0.0000  0.0000  0.96
C  0.4207  0.2497  0.9088  -0.04
Dy  0.8552  0.4886  0.8010  -0.03
C  0.5793  0.7503  0.0912  -0.04
C  0.9207  0.9088  0.2497  -0.04
C  0.0793  0.0912  0.7503  -0.04
C  0.8717  0.7871  0.4696  0.03

---

Record 3
Compound: Sr2BeP
Source: Alexandria via LeMat-Bulk
Functional: PBE-GGA
Structure: relaxed

Crystal system   orthorhombic
Symmetry   Imm2
Energy of formation   -412 meV per atom
DOS(E_F)   2.69 states/eV/f.u.
Total magnetization   0.000 μB per cell

Lattice parameters (Å, degrees): 8.1684 8.1684 8.1684 153.22 150.62 40.17
Fractional coordinates of all 4 atoms:
Be  0.4047  0.4047  0.0000
P  0.3417  0.8417  0.5000
Sr  0.7524  0.2524  0.5000
Sr  0.0011  0.0011  0.0000

---

Number 1: volume 14.32 A^3/atom. Number 2: volume 13.08 A^3/atom. Number 3: volume 30.06 A^3/atom.